Below is a relaxed structure of CrNi2RuF, with properties calculated at the PBE with a Hubbard U level.

Results
Calculated volume (A^3/atom): 15.90
Raw total energy (Ha/atom): -0.101
DOS(E_F) (states/eV/cell): 2.96
Calculated density (g/cm3): 6.04

a b c (Å): 4.244 4.414 4.244
angles (deg): 90.00 90.00 90.00
Each line ends with the local moment (μB).
Element x y z (fractional)
F 0.500 0.500 0.500  0.07
Ni 0.000 0.000 0.500  -0.03
Ru 0.000 0.500 0.000  1.18
Cr 0.000 0.000 0.000  0.04
Ni 0.500 0.000 0.000  -0.01